Li3LaIn GGA-PBEsol relaxed; total magnetization = 2.71 μB per formula unit; DFT formation energy = 1.06 eV per atom
1.0
5.439 0.000 0.000
0.000 5.439 0.000
0.000 0.000 5.439
Li La In
3 1 1
Direct
0.000 0.000 0.500
0.000 0.500 0.000
0.500 0.000 0.000
0.000 0.000 0.000
0.500 0.500 0.500